A relaxed structure of Ba12Au5Br3, computed with PBE-GGA.

Values from the calculation:
- crystal system = cubic
- total magnetic moment (μB/atom) = 0.059

Cell: 17.344 17.344 17.344 Å, 109.47 109.47 109.47°
Atoms (fractional coordinates):
Ba  0.035  0.210  0.116
Ba  0.035  0.324  0.919
Ba  0.081  0.616  0.406
Ba  0.081  0.965  0.676
Ba  0.094  0.710  0.676
Ba  0.094  0.884  0.419
Ba  0.116  0.035  0.210
Ba  0.116  0.581  0.906
Ba  0.176  0.210  0.594
Ba  0.176  0.465  0.581
Ba  0.210  0.116  0.035
Ba  0.210  0.594  0.176
Ba  0.290  0.324  0.906
Ba  0.290  0.465  0.384
Ba  0.324  0.906  0.290
Ba  0.324  0.919  0.035
Ba  0.384  0.290  0.465
Ba  0.384  0.594  0.919
Ba  0.406  0.081  0.616
Ba  0.406  0.824  0.790
Ba  0.419  0.094  0.884
Ba  0.419  0.824  0.535
Ba  0.465  0.384  0.290
Ba  0.465  0.581  0.176
Ba  0.535  0.419  0.824
Ba  0.535  0.616  0.710
Ba  0.581  0.176  0.465
Ba  0.581  0.906  0.116
Ba  0.594  0.176  0.210
Ba  0.594  0.919  0.384
Ba  0.616  0.406  0.081
Ba  0.616  0.710  0.535
Ba  0.676  0.081  0.965
Ba  0.676  0.094  0.710
Ba  0.710  0.535  0.616
Ba  0.710  0.676  0.094
Ba  0.790  0.406  0.824
Ba  0.790  0.884  0.965
Ba  0.824  0.535  0.419
Ba  0.824  0.790  0.406
Ba  0.884  0.419  0.094
Ba  0.884  0.965  0.790
Ba  0.906  0.116  0.581
Ba  0.906  0.290  0.324
Ba  0.919  0.035  0.324
Ba  0.919  0.384  0.594
Ba  0.965  0.676  0.081
Ba  0.965  0.790  0.884
Au  0.000  0.000  0.000
Au  0.000  0.000  0.500
Au  0.000  0.500  0.000
Au  0.000  0.500  0.500
Au  0.125  0.750  0.875
Au  0.125  0.875  0.250
Au  0.250  0.125  0.875
Au  0.250  0.625  0.375
Au  0.375  0.250  0.625
Au  0.375  0.625  0.750
Au  0.500  0.000  0.000
Au  0.500  0.000  0.500
Au  0.500  0.500  0.000
Au  0.500  0.500  0.500
Au  0.625  0.375  0.250
Au  0.625  0.750  0.375
Au  0.750  0.375  0.625
Au  0.750  0.875  0.125
Au  0.875  0.125  0.750
Au  0.875  0.250  0.125
Br  0.125  0.250  0.375
Br  0.125  0.375  0.750
Br  0.250  0.375  0.125
Br  0.250  0.875  0.625
Br  0.375  0.125  0.250
Br  0.375  0.750  0.125
Br  0.625  0.250  0.875
Br  0.625  0.875  0.750
Br  0.750  0.125  0.375
Br  0.750  0.625  0.875
Br  0.875  0.625  0.250
Br  0.875  0.750  0.625

A relaxed structure of BaAu2Br, computed with PBE-GGA.

Values from the calculation:
- crystal system = orthorhombic
- total magnetic moment (μB/atom) = 0.000

Cell: 4.644 4.655 5.913 Å, 90.00 90.00 90.00°
Atoms (fractional coordinates):
Ba  0.000  0.000  0.000
Au  0.500  0.500  0.244
Au  0.500  0.500  0.756
Br  0.000  0.000  0.500

A relaxed structure of Ba4Au3Br, computed with PBE-GGA.

Values from the calculation:
- crystal system = orthorhombic
- total magnetic moment (μB/atom) = 0.000

Cell: 8.368 8.368 4.721 Å, 90.00 90.00 108.81°
Atoms (fractional coordinates):
Ba  0.236  0.236  0.500
Ba  0.242  0.758  0.000
Ba  0.758  0.242  0.000
Ba  0.764  0.764  0.500
Au  0.000  0.000  0.000
Au  0.000  0.500  0.500
Au  0.500  0.000  0.500
Br  0.500  0.500  0.000

A relaxed structure of BaAuBr2, computed with PBE-GGA.

Values from the calculation:
- crystal system = trigonal
- total magnetic moment (μB/atom) = 0.000

Cell: 9.207 9.207 9.207 Å, 31.57 31.57 31.57°
Atoms (fractional coordinates):
Ba  0.000  0.000  0.000
Au  0.500  0.500  0.500
Br  0.391  0.391  0.391
Br  0.609  0.609  0.609

A relaxed structure of BaAuBr2, computed with PBE-GGA.

Values from the calculation:
- crystal system = tetragonal
- total magnetic moment (μB/atom) = 0.000

Cell: 4.637 4.637 6.137 Å, 90.00 90.00 90.00°
Atoms (fractional coordinates):
Ba  0.000  0.000  0.000
Au  0.500  0.500  0.698
Br  0.000  0.000  0.507
Br  0.500  0.500  0.175

A relaxed structure of BaAuBr2, computed with PBE-GGA.

Values from the calculation:
- crystal system = monoclinic
- total magnetic moment (μB/atom) = 0.000

Cell: 5.421 5.668 5.478 Å, 90.00 112.45 90.00°
Atoms (fractional coordinates):
Ba  0.000  0.000  0.000
Au  0.675  0.500  0.765
Br  0.188  0.500  0.774
Br  0.639  0.000  0.354

A relaxed structure of Ba3Au2Br, computed with PBE-GGA.

Values from the calculation:
- crystal system = orthorhombic
- total magnetic moment (μB/atom) = 0.000

Cell: 8.345 8.345 12.106 Å, 90.00 90.00 144.58°
Atoms (fractional coordinates):
Ba  0.117  0.883  0.750
Ba  0.373  0.627  0.551
Ba  0.373  0.627  0.949
Ba  0.627  0.373  0.051
Ba  0.627  0.373  0.449
Ba  0.883  0.117  0.250
Au  0.000  0.000  0.000
Au  0.000  0.000  0.500
Au  0.495  0.505  0.250
Au  0.505  0.495  0.750
Br  0.231  0.769  0.250
Br  0.769  0.231  0.750

A relaxed structure of BaAuBr2, computed with PBE-GGA.

Values from the calculation:
- crystal system = tetragonal
- total magnetic moment (μB/atom) = 0.000

Cell: 10.384 10.384 10.384 Å, 149.20 149.20 44.12°
Atoms (fractional coordinates):
Ba  0.000  0.000  0.000
Ba  0.750  0.250  0.500
Au  0.250  0.750  0.500
Au  0.500  0.500  0.000
Br  0.165  0.625  0.040
Br  0.375  0.415  0.540
Br  0.585  0.125  0.960
Br  0.875  0.835  0.460

Calculated values (eV for the cell shown) of energy for the records, taken in order: -227.80, -12.59, -26.77, -12.38, -12.66, -13.24, -37.94, -25.01.